A plane-wave DFT calculation with GGA-PBE was carried out for an optimized crystal structure of K2PrMnSe4.

Electronic total energy, eV per atom: -4.90
Formation energy without anion corrections, eV per atom: -1.138

Cell lengths 8.540, 8.540, 8.795 Å; angles 119.41, 119.41, 89.61 degrees
Last column: magnetic moment on the atom in μB.
Fractional coordinates of all 16 atoms:
Pr (0.000, 0.500, 0.500)  0.03
Pr (0.000, 0.500, 0.000)  0.03
Se (0.792, 0.778, 0.995)  -0.02
Se (0.722, 0.708, 0.505)  -0.02
Se (0.208, 0.222, 0.005)  -0.02
Se (0.266, 0.698, 0.475)  -0.04
Se (0.802, 0.234, 0.025)  -0.04
Se (0.198, 0.766, 0.975)  -0.04
Se (0.734, 0.302, 0.525)  -0.04
Se (0.278, 0.292, 0.495)  -0.02
K (0.500, 0.000, 0.500)  0.00
K (0.500, 0.500, 0.000)  0.00
K (0.000, 0.000, 0.500)  0.00
K (0.500, 0.000, 0.000)  0.00
Mn (0.000, 0.000, 0.000)  3.83
Mn (0.500, 0.500, 0.500)  3.83